Computed, not measured: a relaxed structure of ErAlPt6 at the PBE-GGA level of DFT.

Summary:
Space-group type: P4/mmm
Calculated formation energy, kJ/mol of atoms: -84.07
Size of the total moment, μB per cell: 0.000

a b c (Å): 4.036 4.036 7.947
angles (deg): 90.00 90.00 90.00
Fractional coordinates of all 8 atoms:
1 Pt 0.500 0.000 0.735
2 Pt 0.500 0.500 0.000
3 Pt 0.000 0.500 0.265
4 Pt 0.500 0.000 0.265
5 Pt 0.500 0.500 0.500
6 Pt 0.000 0.500 0.735
7 Al 0.000 0.000 0.500
8 Er 0.000 0.000 0.000